Entry 1:
Compound: Sn3Te2I2
Source: Alexandria via LeMat-Bulk
Functional: PBE-GGA
Structure: optimized geometry

Calculated values
raw formation energy	-0.34	eV per atom
excess energy over the best structure of this formula in the dataset	0.494	kcal/mol of atoms

Lattice parameters (Å, degrees): 17.7036 4.4281 6.8882 90.00 103.96 90.00
Space group C2/m (No. 12)
Inequivalent atoms, fractional coordinates:
Sn 0.0000 0.0000 0.0000 x2
Sn 0.2400 0.5000 0.2100 x4
Te 0.1543 0.0000 0.3555 x4
I 0.0827 0.5000 0.7917 x4

Entry 2:
Compound: NaAlZnSb2
Source: Alexandria via LeMat-Bulk
Functional: PBE-GGA
Structure: optimized geometry

Calculated values
raw formation energy	0.28	eV per atom
DOS at the Fermi energy	2.97	states/eV/f.u.

Lattice parameters (Å, degrees): 5.4005 5.4005 4.8725 90.00 90.00 90.00
Space group P4/mmm (No. 123)
Inequivalent atoms, fractional coordinates:
Na 0.0000 0.0000 0.0000 x1
Al 0.5000 0.5000 0.0000 x1
Zn 0.5000 0.5000 0.5000 x1
Sb 0.0000 0.5000 0.5000 x2

Entry 3:
Compound: Ac2SbF
Source: Alexandria via LeMat-Bulk
Functional: PBE-GGA
Structure: optimized geometry

Calculated values
raw formation energy	-1.46	eV per atom
excess energy over the best structure of this formula in the dataset	5.506	kcal/mol of atoms
DOS at the Fermi energy	2.90	states/eV/f.u.

Lattice parameters (Å, degrees): 7.7870 7.7870 7.7870 90.00 90.00 90.00
Space group Fm-3m (No. 225)
Inequivalent atoms, fractional coordinates:
Ac 0.2500 0.2500 0.2500 x8
Sb 0.0000 0.0000 0.0000 x4
F 0.0000 0.0000 0.5000 x4

Entry 4:
Compound: PmZnN
Source: Alexandria via LeMat-Bulk
Functional: PBE-GGA
Structure: optimized geometry

Calculated values
raw formation energy	-0.88	eV per atom
excess energy over the best structure of this formula in the dataset	0.000	kcal/mol of atoms
DOS at the Fermi energy	0.90	states/eV/f.u.

Lattice parameters (Å, degrees): 4.2034 4.2034 21.7095 90.00 90.00 120.00
Space group R-3m (No. 166, hexagonal axes)
Inequivalent atoms, fractional coordinates:
Pm 0.0000 0.0000 0.1080 x6
Zn 0.0000 0.0000 0.3141 x6
N 0.0000 0.0000 0.2171 x6

Entry 5:
Compound: Nd2OsO
Source: Alexandria via LeMat-Bulk
Functional: PBE-GGA
Structure: optimized geometry

Calculated values
raw formation energy	-0.94	eV per atom
excess energy over the best structure of this formula in the dataset	0.000	kcal/mol of atoms
DOS at the Fermi energy	1.27	states/eV/f.u.

Lattice parameters (Å, degrees): 3.3096 3.3096 6.9435 90.00 90.00 90.00
Space group P4/mmm (No. 123)
Inequivalent atoms, fractional coordinates:
Nd 0.0000 0.0000 0.2342 x2
Os 0.5000 0.5000 0.5000 x1
O 0.5000 0.5000 0.0000 x1

Entry 6:
Compound: NiWN3
Source: Alexandria via LeMat-Bulk
Functional: PBE-GGA
Structure: optimized geometry

Calculated values
raw formation energy	0.91	eV per atom
DOS at the Fermi energy	4.71	states/eV/f.u.

Lattice parameters (Å, degrees): 3.9284 3.9284 3.9284 90.00 90.00 90.00
Space group Pm-3m (No. 221)
Inequivalent atoms, fractional coordinates:
Ni 0.0000 0.0000 0.0000 x1
W 0.5000 0.5000 0.5000 x1
N 0.0000 0.5000 0.5000 x3